Record 1
Computed, not measured: a geometry-optimized Sm4AlGa structure at the PBE level of DFT.

Structure (POSCAR):
```
Sm4AlGa
1.0
5.078 0.000 0.000
0.000 5.078 0.000
0.000 0.000 7.261
Sm Al Ga
4 1 1
direct
0.000 0.500 0.247
0.000 0.500 0.753
0.500 0.000 0.247
0.500 0.000 0.753
0.000 0.000 0.500
0.500 0.500 0.000
```

Properties
The calculation puts the energy relative to the lowest polymorph listed for this composition at 0.000 eV/atom. The formation energy is -0.13 eV per atom. For the density of states at the Fermi level, the calculation gives 1.54 states/eV/atom.


Record 2
Computed, not measured: a geometry-optimized SmAlGa2 structure at the PBE level of DFT.

Structure (POSCAR):
```
SmAlGa2
1.0
14.070 0.000 0.000
0.000 4.216 0.000
0.000 0.000 11.093
Sm Al Ga
8 8 16
direct
0.049 0.250 0.249
0.200 0.750 0.961
0.300 0.250 0.461
0.451 0.750 0.749
0.549 0.250 0.251
0.700 0.750 0.539
0.800 0.250 0.039
0.951 0.750 0.751
0.057 0.250 0.551
0.204 0.750 0.667
0.296 0.250 0.167
0.443 0.750 0.051
0.557 0.250 0.949
0.704 0.750 0.833
0.796 0.250 0.333
0.943 0.750 0.449
0.040 0.250 0.975
0.114 0.250 0.772
0.132 0.750 0.449
0.204 0.750 0.242
0.296 0.250 0.742
0.368 0.250 0.949
0.386 0.750 0.272
0.460 0.750 0.475
0.540 0.250 0.525
0.614 0.250 0.728
0.632 0.750 0.051
0.704 0.750 0.258
0.796 0.250 0.758
0.868 0.250 0.551
0.886 0.750 0.228
0.960 0.750 0.025
```

Properties
The formation energy is -0.54 eV per atom. For the density of states at the Fermi level, the calculation gives 0.22 states/eV/atom.


| no. | VASP energy (eV/atom) |
| --- | --- |
| 1 | -4.4037 |
| 2 | -4.1653 |